A:
A plane-wave DFT calculation with PBE-GGA was carried out for crystalline AgP2Cl at its relaxed geometry.

The structure belongs to space group P4/mmm (No. 123); the cell edges are 3.0349, 3.0349 and 7.7206 Å and the angles 90.00°, 90.00° and 90.00°. The inequivalent atoms are Ag at (0.0000, 0.0000, 0.0000), P at (0.5000, 0.5000, 0.2261) and Cl at (0.0000, 0.0000, 0.5000).

Its total magnetization is 0.000 Bohr magnetons per cell.



B:
A plane-wave DFT calculation with PBE-GGA was carried out for crystalline AgP2Cl at its relaxed geometry.

The structure belongs to space group C2/m (No. 12); the cell edges are 12.9510, 3.3318 and 4.3669 Å and the angles 90.00°, 90.42° and 90.00°. The inequivalent atoms are Ag at (0.0000, 0.0000, 0.0000), P at (0.1988, 0.0000, 0.0045) and Cl at (0.0000, 0.5000, 0.5000).

Its total magnetization is 0.000 Bohr magnetons per cell.



Relative calculated energies, zero for the most stable structure, unit kJ/mol of atoms: A 64.6; B 0.0.



A:
A plane-wave DFT calculation with PBE-GGA was carried out for crystalline MgNiW at its relaxed geometry.

The structure belongs to space group P6_3/mmc (No. 194); the cell edges are 4.3391, 4.3391 and 5.4049 Å and the angles 90.00°, 90.00° and 120.00°. The inequivalent atoms are Mg at (0.0000, 0.0000, 0.0000), Ni at (0.3333, 0.6667, 0.2500) and W at (0.3333, 0.6667, 0.7500).

Its total magnetization is 0.000 Bohr magnetons per cell.



B:
A plane-wave DFT calculation with PBE-GGA was carried out for crystalline MgNiW at its relaxed geometry.

The structure belongs to space group Pnma (No. 62); the cell edges are 7.4903, 3.1980 and 7.9214 Å and the angles 90.00°, 90.00° and 90.00°. The inequivalent atoms are Mg at (0.0467, 0.2500, 0.1611), Ni at (0.2427, 0.2500, 0.8500) and W at (0.1182, 0.2500, 0.5526).

Its total magnetization is 0.000 Bohr magnetons per cell.



Relative calculated energies, zero for the most stable structure, unit kJ/mol of atoms: A 23.0; B 0.0.



A:
A plane-wave DFT calculation with PBE-GGA was carried out for crystalline Ag2C at its relaxed geometry.

The structure belongs to space group C2/m (No. 12); the cell edges are 11.0428, 3.0877 and 7.0825 Å and the angles 90.00°, 128.98° and 90.00°. The inequivalent atoms are Ag at (0.0035, 0.0000, 0.3067), Ag at (0.2406, 0.5000, 0.7342) and C at (0.0630, 0.5000, 0.0124).

Its total magnetization is 0.000 Bohr magnetons per cell.



B:
A plane-wave DFT calculation with PBE-GGA was carried out for crystalline Ag2C at its relaxed geometry.

The structure belongs to space group P-3m1 (No. 164); the cell edges are 3.1446, 3.1446 and 5.1801 Å and the angles 90.00°, 90.00° and 120.00°. The inequivalent atoms are Ag at (0.3333, 0.6667, 0.2253) and C at (0.0000, 0.0000, 0.5000).

Its total magnetization is 0.000 Bohr magnetons per cell.



Relative calculated energies, zero for the most stable structure, unit kJ/mol of atoms: A 0.0; B 65.0.



A:
A plane-wave DFT calculation with PBE-GGA was carried out for crystalline ZnInHg at its relaxed geometry.

The structure belongs to space group P3m1 (No. 156); the cell edges are 4.6553, 4.6553 and 3.7771 Å and the angles 90.00°, 90.00° and 120.00°. The inequivalent atoms are Zn at (0.0000, 0.0000, 0.0000), In at (0.6667, 0.3333, 0.6367) and Hg at (0.3333, 0.6667, 0.2111).

Its total magnetization is 0.000 Bohr magnetons per cell.



B:
A plane-wave DFT calculation with PBE-GGA was carried out for crystalline ZnInHg at its relaxed geometry.

The structure belongs to space group P1 (No. 1); the cell edges are 5.3610, 5.4415 and 5.7808 Å and the angles 62.29°, 79.79° and 65.23°. The inequivalent atoms are Zn at (0.0000, 0.0000, 0.0000), Zn at (0.0027, 0.5078, 0.9780), In at (0.2044, 0.9076, 0.4968), In at (0.5077, 0.4010, 0.1976), Hg at (0.5022, 0.0897, 0.8127) and Hg at (0.8252, 0.5840, 0.4911).

Its total magnetization is 0.000 Bohr magnetons per cell.



Relative calculated energies, zero for the most stable structure, unit kJ/mol of atoms: A 4.9; B 0.0.